[1]
## RbTlCd2Bi2 (PBE)

Data for crystalline RbTlCd2Bi2 at its relaxed geometry.

Cell: 5.1976 5.1976 9.0334 Å, 90.00 90.00 120.00°
Element x y z (fractional)
Bi1 0.6667 0.3333 0.2732
Bi2 0.3333 0.6667 0.7268
Cd1 0.6667 0.3333 0.6513
Cd2 0.3333 0.6667 0.3487
Tl1 0.0000 0.0000 0.5000
Rb1 0.0000 0.0000 0.0000

## Properties
magnetization	0.000	μB/atom
Fermi-level density of states	1.8	states/eV/f.u.
energy of formation from the pure elements	-0.163	eV/atom

***

[2]
## Rb2Tl6CdBi (PBE)

Data for crystalline Rb2Tl6CdBi at its relaxed geometry.

Cell: 7.9577 7.9577 15.0727 Å, 74.69 74.69 60.00°
Element x y z (fractional)
Tl1 0.6262 0.2247 0.9243
Tl2 0.2247 0.2247 0.9243
Tl3 0.6638 0.0798 0.5926
Tl4 0.9202 0.3362 0.4074
Tl5 0.3362 0.9202 0.4074
Tl6 0.0798 0.6638 0.5926
Tl7 0.3738 0.7753 0.0757
Tl8 0.7753 0.7753 0.0757
Tl9 0.3362 0.3362 0.4074
Tl10 0.2247 0.6262 0.9243
Tl11 0.6638 0.6638 0.5926
Tl12 0.7753 0.3738 0.0757
Bi1 0.5762 0.5762 0.2713
Bi2 0.4238 0.4238 0.7287
Rb1 0.1017 0.1017 0.6948
Rb2 0.7236 0.7236 0.8293
Rb3 0.2764 0.2764 0.1707
Rb4 0.8983 0.8983 0.3052
Cd1 0.0000 0.0000 0.0000
Cd2 0.5000 0.5000 0.5000

## Properties
magnetization	0.000	μB/atom
Fermi-level density of states	4.5	states/eV/f.u.
energy of formation from the pure elements	-0.008	eV/atom

***

[3]
## RbTl2Cd2Bi2 (PBE)

Data for crystalline RbTl2Cd2Bi2 at its relaxed geometry.

Cell: 5.5446 5.5446 10.1573 Å, 74.16 74.16 60.00°
Element x y z (fractional)
Bi1 0.7554 0.7554 0.7337
Bi2 0.2446 0.2446 0.2663
Tl1 0.1312 0.1312 0.6064
Tl2 0.8688 0.8688 0.3936
Rb1 0.0000 0.0000 0.0000
Cd1 0.5774 0.5774 0.2679
Cd2 0.4226 0.4226 0.7321

## Properties
magnetization	0.000	μB/atom
Fermi-level density of states	1.6	states/eV/f.u.
energy of formation from the pure elements	-0.078	eV/atom

***

[4]
## RbTlCd2Bi (PBE)

Data for crystalline RbTlCd2Bi at its relaxed geometry.

Cell: 5.0229 5.2437 7.4588 Å, 110.58 109.68 90.00°
Element x y z (fractional)
Tl1 0.1806 0.6806 0.3613
Bi1 0.8325 0.8325 0.6650
Cd1 0.0631 0.0631 0.1261
Cd2 0.6935 0.1935 0.3870
Rb1 0.4425 0.4425 0.8849

## Properties
magnetization	0.000	μB/atom
Fermi-level density of states	0.6	states/eV/f.u.
energy of formation from the pure elements	-0.162	eV/atom

***

[5]
## Rb2Tl3Cd4Bi (PBE)

Data for crystalline Rb2Tl3Cd4Bi at its relaxed geometry.

Cell: 5.1660 5.1660 12.8258 Å, 90.00 90.00 90.00°
Element x y z (fractional)
Cd1 0.5000 0.0000 0.6379
Cd2 0.5000 0.5000 0.0000
Cd3 0.0000 0.5000 0.3621
Cd4 0.0000 0.0000 0.0000
Tl1 0.0000 0.5000 0.1276
Tl2 0.5000 0.0000 0.8724
Tl3 0.0000 0.0000 0.5000
Rb1 0.5000 0.0000 0.2478
Rb2 0.0000 0.5000 0.7522
Bi1 0.5000 0.5000 0.5000

## Properties
magnetization	0.000	μB/atom
Fermi-level density of states	5.6	states/eV/f.u.
energy of formation from the pure elements	-0.086	eV/atom

***

[6]
## Rb2TlCd3Bi4 (PBE)

Data for crystalline Rb2TlCd3Bi4 at its relaxed geometry.

Cell: 5.4108 5.4108 12.1923 Å, 90.00 90.00 90.00°
Element x y z (fractional)
Bi1 0.5000 0.0000 0.6313
Bi2 0.0000 0.0000 0.0000
Bi3 0.0000 0.5000 0.3687
Bi4 0.5000 0.5000 0.0000
Cd1 0.0000 0.5000 0.1249
Cd2 0.5000 0.0000 0.8751
Cd3 0.0000 0.0000 0.5000
Rb1 0.0000 0.5000 0.7512
Rb2 0.5000 0.0000 0.2488
Tl1 0.5000 0.5000 0.5000

## Properties
magnetization	0.000	μB/atom
Fermi-level density of states	3.9	states/eV/f.u.
energy of formation from the pure elements	-0.193	eV/atom

***

[7]
## Rb2YCdBi (PBE)

Data for crystalline Rb2YCdBi at its relaxed geometry.

Cell: 7.8115 5.8339 7.8115 Å, 90.00 90.00 90.00°
Element x y z (fractional)
Rb1 0.5000 0.0000 0.0000
Rb2 0.0000 0.0000 0.5000
Cd1 0.5000 0.5000 0.5000
Y1 0.0000 0.0000 0.0000
Bi1 0.0000 0.5000 0.0000

## Properties
magnetization	0.000	μB/atom
Fermi-level density of states	1.1	states/eV/f.u.
energy of formation from the pure elements	0.270	eV/atom

***

[8]
## Rb2ZnCd3Bi4 (PBE)

Data for crystalline Rb2ZnCd3Bi4 at its relaxed geometry.

Cell: 5.2652 5.2652 12.1105 Å, 90.00 90.00 90.00°
Element x y z (fractional)
Bi1 0.0000 0.0000 0.0000
Bi2 0.0000 0.5000 0.3791
Bi3 0.5000 0.0000 0.6209
Bi4 0.5000 0.5000 0.0000
Rb1 0.5000 0.0000 0.2561
Rb2 0.0000 0.5000 0.7439
Cd1 0.5000 0.0000 0.8654
Cd2 0.0000 0.5000 0.1346
Cd3 0.0000 0.0000 0.5000
Zn1 0.5000 0.5000 0.5000

## Properties
magnetization	0.000	μB/atom
Fermi-level density of states	2.9	states/eV/f.u.
energy of formation from the pure elements	-0.191	eV/atom

***

[9]
## RbZnCd2Bi (PBE)

Data for crystalline RbZnCd2Bi at its relaxed geometry.

Cell: 6.6068 6.3157 6.6068 Å, 90.00 90.00 90.00°
Element x y z (fractional)
Cd1 0.5000 0.0000 0.0000
Cd2 0.0000 0.0000 0.5000
Bi1 0.5000 0.5000 0.5000
Rb1 0.0000 0.0000 0.0000
Zn1 0.0000 0.5000 0.0000

## Properties
magnetization	0.402	μB/atom
Fermi-level density of states	5.0	states/eV/f.u.
energy of formation from the pure elements	0.841	eV/atom
energy relative to the lowest polymorph listed for this composition	0.777	eV per atom

***

[10]
## RbZnCd2Bi (PBE)

Data for crystalline RbZnCd2Bi at its relaxed geometry.

Cell: 5.3925 5.6249 5.3925 Å, 90.00 90.00 90.00°
Element x y z (fractional)
Bi1 0.0000 0.5000 0.0000
Cd1 0.5000 0.0000 0.0000
Cd2 0.0000 0.0000 0.5000
Rb1 0.5000 0.5000 0.5000
Zn1 0.0000 0.0000 0.0000

## Properties
magnetization	0.000	μB/atom
Fermi-level density of states	2.1	states/eV/f.u.
energy of formation from the pure elements	0.063	eV/atom
energy relative to the lowest polymorph listed for this composition	0.000	eV per atom

***

[11]
## RbZnCdBi2 (PBE)

Data for crystalline RbZnCdBi2 at its relaxed geometry.

Cell: 4.4427 4.4427 9.1319 Å, 104.08 104.08 90.00°
Element x y z (fractional)
Bi1 0.3632 0.3632 0.7264
Bi2 0.6368 0.6368 0.2736
Zn1 0.7500 0.2500 0.5000
Rb1 0.0000 0.0000 0.0000
Cd1 0.2500 0.7500 0.5000

## Properties
magnetization	0.000	μB/atom
Fermi-level density of states	2.7	states/eV/f.u.
energy of formation from the pure elements	-0.148	eV/atom

***

[12]
## Cd2ReBi2 (PBE)

Data for crystalline Cd2ReBi2 at its relaxed geometry.

Cell: 3.6614 3.6614 10.2739 Å, 79.74 79.74 90.00°
Element x y z (fractional)
Cd1 0.7500 0.2500 0.5000
Cd2 0.2500 0.7500 0.5000
Re1 0.0000 0.0000 0.0000
Bi1 0.5810 0.5810 0.8380
Bi2 0.4190 0.4190 0.1620

## Properties
magnetization	0.000	μB/atom
Fermi-level density of states	1.8	states/eV/f.u.
energy of formation from the pure elements	0.666	eV/atom
energy relative to the lowest polymorph listed for this composition	0.000	eV per atom

***

[13]
## CdRe3Bi (PBE)

Data for crystalline CdRe3Bi at its relaxed geometry.

Cell: 4.8871 4.8871 4.8871 Å, 90.00 90.00 90.00°
Element x y z (fractional)
Re1 0.0000 0.5000 0.0000
Re2 0.0000 0.0000 0.5000
Re3 0.5000 0.0000 0.0000
Bi1 0.5000 0.5000 0.5000
Cd1 0.0000 0.0000 0.0000

## Properties
magnetization	0.698	μB/atom
Fermi-level density of states	5.7	states/eV/f.u.
energy of formation from the pure elements	2.883	eV/atom
energy relative to the lowest polymorph listed for this composition	0.000	eV per atom

***

[14]
## Cd2ReBi (PBE)

Data for crystalline Cd2ReBi at its relaxed geometry.

Cell: 9.3444 9.3444 7.1071 Å, 48.90 48.90 90.00°
Element x y z (fractional)
Bi1 0.7500 0.2500 0.5000
Bi2 0.0000 0.0000 0.0000
Re1 0.5000 0.5000 0.0000
Re2 0.2500 0.7500 0.5000
Cd1 0.2347 0.6250 0.2500
Cd2 0.3750 0.4847 0.7500
Cd3 0.5153 0.1250 0.2500
Cd4 0.8750 0.7653 0.7500

## Properties
magnetization	0.171	μB/atom
Fermi-level density of states	2.1	states/eV/f.u.
energy of formation from the pure elements	0.900	eV/atom

***

[15]
## Cd2ReBi2 (PBE)

Data for crystalline Cd2ReBi2 at its relaxed geometry.

Cell: 7.2067 7.2067 5.0750 Å, 90.00 90.00 90.00°
Element x y z (fractional)
Cd1 0.6600 0.8400 0.5000
Cd2 0.3400 0.1600 0.5000
Cd3 0.1600 0.6600 0.5000
Cd4 0.8400 0.3400 0.5000
Bi1 0.3449 0.8449 0.0000
Bi2 0.8449 0.6551 0.0000
Bi3 0.1551 0.3449 0.0000
Bi4 0.6551 0.1551 0.0000
Re1 0.5000 0.5000 0.0000
Re2 0.0000 0.0000 0.0000

## Properties
magnetization	0.178	μB/atom
Fermi-level density of states	1.7	states/eV/f.u.
energy of formation from the pure elements	0.765	eV/atom
energy relative to the lowest polymorph listed for this composition	0.099	eV per atom

***

[16]
## CdReBi2 (PBE)

Data for crystalline CdReBi2 at its relaxed geometry.

Cell: 6.6925 6.6925 7.8108 Å, 64.63 64.63 90.00°
Element x y z (fractional)
Cd1 0.5000 0.5000 0.0000
Cd2 0.2500 0.7500 0.5000
Bi1 0.0779 0.6250 0.2500
Bi2 0.8750 0.9221 0.7500
Bi3 0.3750 0.3279 0.7500
Bi4 0.6721 0.1250 0.2500
Re1 0.7500 0.2500 0.5000
Re2 0.0000 0.0000 0.0000

## Properties
magnetization	0.000	μB/atom
Fermi-level density of states	4.9	states/eV/f.u.
energy of formation from the pure elements	0.950	eV/atom

***

[17]
## CdReBi3 (PBE)

Data for crystalline CdReBi3 at its relaxed geometry.

Cell: 5.3845 5.3845 5.3845 Å, 90.00 90.00 90.00°
Element x y z (fractional)
Cd1 0.5000 0.5000 0.5000
Bi1 0.5000 0.0000 0.0000
Bi2 0.0000 0.5000 0.0000
Bi3 0.0000 0.0000 0.5000
Re1 0.0000 0.0000 0.0000

## Properties
magnetization	0.000	μB/atom
Fermi-level density of states	1.3	states/eV/f.u.
energy of formation from the pure elements	0.739	eV/atom
energy relative to the lowest polymorph listed for this composition	0.000	eV per atom

***

[18]
## CdRe2BiRh (PBE)

Data for crystalline CdRe2BiRh at its relaxed geometry.

Cell: 4.9561 4.8806 4.9561 Å, 90.00 90.00 90.00°
Element x y z (fractional)
Re1 0.5000 0.0000 0.0000
Re2 0.0000 0.0000 0.5000
Rh1 0.0000 0.5000 0.0000
Cd1 0.0000 0.0000 0.0000
Bi1 0.5000 0.5000 0.5000

## Properties
magnetization	1.042	μB/atom
Fermi-level density of states	8.2	states/eV/f.u.
energy of formation from the pure elements	2.361	eV/atom

***

[19]
## CdReBi2S (PBE)

Data for crystalline CdReBi2S at its relaxed geometry.

Cell: 5.3809 4.8858 5.3809 Å, 90.00 90.00 90.00°
Element x y z (fractional)
Re1 0.5000 0.5000 0.5000
Cd1 0.0000 0.5000 0.0000
Bi1 0.5000 0.0000 0.0000
Bi2 0.0000 0.0000 0.5000
S1 0.0000 0.0000 0.0000

## Properties
magnetization	0.699	μB/atom
Fermi-level density of states	3.6	states/eV/f.u.
formation energy without anion corrections	1.2735	eV per atom

***

[20]
## CdBi2Rh (PBE)

Data for crystalline CdBi2Rh at its relaxed geometry.

Cell: 3.3664 3.3664 8.6852 Å, 90.00 90.00 90.00°
Element x y z (fractional)
Cd1 0.5000 0.5000 0.5000
Bi1 0.0000 0.0000 0.8020
Bi2 0.0000 0.0000 0.1980
Rh1 0.5000 0.5000 0.0000

## Properties
magnetization	0.000	μB/atom
Fermi-level density of states	2.8	states/eV/f.u.
energy of formation from the pure elements	-0.053	eV/atom

***

[21]
## CdBiRh (PBE)

Data for crystalline CdBiRh at its relaxed geometry.

Cell: 3.3090 4.7537 4.7537 Å, 120.00 90.00 90.00°
Element x y z (fractional)
Rh1 0.1664 0.3333 0.6667
Bi1 0.1670 0.0000 0.0000
Cd1 0.6666 0.6667 0.3333

## Properties
magnetization	0.000	μB/atom
Fermi-level density of states	2.0	states/eV/f.u.
energy of formation from the pure elements	0.150	eV/atom

***

[22]
## Cd2Bi8Rh (PBE)

Data for crystalline Cd2Bi8Rh at its relaxed geometry.

Cell: 6.3795 8.0904 8.0904 Å, 67.33 68.50 68.50°
Element x y z (fractional)
Bi1 0.2048 0.8067 0.3044
Bi2 0.7191 0.6338 0.6338
Bi3 0.2809 0.3662 0.3662
Bi4 0.7952 0.6956 0.1933
Bi5 0.8577 0.2376 0.2376
Bi6 0.7952 0.1933 0.6956
Bi7 0.2048 0.3044 0.8067
Bi8 0.1423 0.7624 0.7624
Rh1 0.0000 0.0000 0.0000
Cd1 0.4924 0.8798 0.8798
Cd2 0.5076 0.1202 0.1202

## Properties
magnetization	0.000	μB/atom
Fermi-level density of states	5.8	states/eV/f.u.
energy of formation from the pure elements	0.055	eV/atom

***

[23]
## CdBiRh (PBE)

Data for crystalline CdBiRh at its relaxed geometry.

Cell: 7.3414 7.2794 6.5263 Å, 64.03 63.08 77.66°
Element x y z (fractional)
Cd1 0.2565 0.2236 0.3916
Cd2 0.2578 0.7525 0.6079
Cd3 0.7530 0.2560 0.1335
Cd4 0.2239 0.2560 0.8787
Rh1 0.4793 0.4788 0.8968
Rh2 0.5206 0.0054 0.0969
Rh3 0.9958 0.9953 0.8785
Rh4 0.0067 0.5200 0.1276
Bi1 0.7306 0.7665 0.3871
Bi2 0.7588 0.2574 0.6154
Bi3 0.2575 0.7593 0.1186
Bi4 0.7670 0.7292 0.8675

## Properties
magnetization	0.000	μB/atom
Fermi-level density of states	1.7	states/eV/f.u.
energy of formation from the pure elements	-0.083	eV/atom

***

[24]
## CdBiRh2 (PBE)

Data for crystalline CdBiRh2 at its relaxed geometry.

Cell: 3.5923 4.5079 4.5079 Å, 90.00 90.00 90.00°
Element x y z (fractional)
Rh1 0.0000 0.0000 0.5000
Rh2 0.0000 0.5000 0.0000
Bi1 0.5000 0.5000 0.5000
Cd1 0.5000 0.0000 0.0000

## Properties
magnetization	0.000	μB/atom
Fermi-level density of states	2.8	states/eV/f.u.
energy of formation from the pure elements	-0.035	eV/atom

***

[25]
## Cd2Bi4Rh (PBE)

Data for crystalline Cd2Bi4Rh at its relaxed geometry.

Cell: 4.0730 5.9625 8.9020 Å, 113.84 90.00 90.00°
Element x y z (fractional)
Cd1 0.5000 0.3337 0.4979
Cd2 0.5000 0.8092 0.5022
Bi1 0.0000 0.1915 0.7389
Bi2 0.5000 0.4128 0.1213
Bi3 0.0000 0.9514 0.2612
Bi4 0.5000 0.7301 0.8788
Rh1 0.0000 0.0715 0.0001

## Properties
magnetization	0.000	μB/atom
Fermi-level density of states	3.4	states/eV/f.u.
energy of formation from the pure elements	0.008	eV/atom

***

[26]
## Cd3BiRh (PBE)

Data for crystalline Cd3BiRh at its relaxed geometry.

Cell: 5.1405 5.1405 5.1405 Å, 90.00 90.00 90.00°
Element x y z (fractional)
Rh1 0.0000 0.0000 0.0000
Cd1 0.0000 0.5000 0.0000
Cd2 0.0000 0.0000 0.5000
Cd3 0.5000 0.0000 0.0000
Bi1 0.5000 0.5000 0.5000

## Properties
magnetization	0.000	μB/atom
Fermi-level density of states	5.6	states/eV/f.u.
energy of formation from the pure elements	0.283	eV/atom
energy relative to the lowest polymorph listed for this composition	0.000	eV per atom